(1)
A plane-wave DFT calculation with PBE was carried out for a relaxed NpTa3C4 crystal.

The structure belongs to space group Cmmm (No. 65); the cell edges are 6.510, 9.125 and 3.226 Å and the angles 90.00°, 90.00° and 90.00°. The asymmetric unit holds Np at (0.000, 0.000, 0.000), Ta at (0.000, 0.500, 0.000), Ta at (0.250, 0.250, 0.500), C at (0.000, 0.252, 0.000) and C at (0.240, 0.500, 0.500).

The value obtained for the formation energy is -0.4835 eV/atom.

=====

(2)
A plane-wave DFT calculation with PBE was carried out for a relaxed As2AuN crystal.

The structure belongs to space group I-42d (No. 122); the cell edges are 5.474, 5.474 and 10.111 Å and the angles 90.00°, 90.00° and 90.00°. The asymmetric unit holds As at (0.185, 0.250, 0.125), Au at (0.000, 0.000, 0.500) and N at (0.000, 0.000, 0.000).

The calculation puts the formation energy from raw total energies at 0.55 eV/atom.

=====

(3)
A plane-wave DFT calculation with PBE was carried out for a relaxed MgZn2W crystal.

The structure belongs to space group Cmmm (No. 65); the cell edges are 5.694, 7.818 and 2.807 Å and the angles 90.00°, 90.00° and 90.00°. The asymmetric unit holds Mg at (0.000, 0.000, 0.000), Zn at (0.250, 0.250, 0.500) and W at (0.000, 0.500, 0.000).

The value obtained for the formation energy is 0.1574 eV/atom.

=====

(4)
A plane-wave DFT calculation with PBE was carried out for a relaxed CaCd6Pd6 crystal.

The structure belongs to space group Immm (No. 71); the cell edges are 5.613, 9.231 and 9.741 Å and the angles 90.00°, 90.00° and 90.00°. The asymmetric unit holds Ca at (0.000, 0.000, 0.000), Cd at (0.000, 0.000, 0.345), Cd at (0.000, 0.336, 0.000), Cd at (0.000, 0.500, 0.316), Pd at (0.000, 0.264, 0.500) and Pd at (0.250, 0.250, 0.250).

The value obtained for the formation energy is -0.4128 eV/atom.

=====

(5)
A plane-wave DFT calculation with PBE was carried out for a relaxed NbIrSe2 crystal.

The structure belongs to space group I-42d (No. 122); the cell edges are 5.761, 5.761 and 11.095 Å and the angles 90.00°, 90.00° and 90.00°. The asymmetric unit holds Nb at (0.000, 0.000, 0.000), Ir at (0.000, 0.000, 0.500) and Se at (0.236, 0.250, 0.625).

The calculation puts the formation energy from raw total energies at 0.11 eV/atom.

=====

(6)
A plane-wave DFT calculation with PBE was carried out for a relaxed YGe2Pd4 crystal.

The structure belongs to space group Pnma (No. 62); the cell edges are 17.200, 4.229 and 6.694 Å and the angles 90.00°, 90.00° and 90.00°. The asymmetric unit holds Y at (0.140, 0.250, 0.011), Ge at (0.043, 0.750, 0.264), Ge at (0.221, 0.250, 0.516), Pd at (0.026, 0.750, 0.859), Pd at (0.074, 0.250, 0.506), Pd at (0.189, 0.750, 0.307) and Pd at (0.190, 0.750, 0.723).

The value obtained for the formation energy is -0.6902 eV/atom.

=====

Total magnetization / μB/atom: 0.19, 0.00, 0.00, 0.00, 0.00, 0.00
V / A^3/atom: 11.98, 18.94, 15.62, 19.41, 23.02, 17.39
Final energy / eV per atom: -11.16, -4.68, -4.12, -3.39, -6.37, -5.90